Entry 1:
Compound: Ca2PbAu
Source: Alexandria
Functional: meta-GGA SCAN
Structure: single point on PBEsol structure

As for the total moment: 0.000 μB/cell. The value obtained for the density of states at the Fermi level is 1.2 states/eV per cell. The energy is -41.897 eV/atom. For the calculated volume, the calculation gives 102.0 Å³/cell.

It has space group P4/mmm (No. 123), with a = 5.334 Å, b = 5.334 Å, c = 3.586 Å, α = 90.00°, β = 90.00° and γ = 90.00°. The distinct sites, in fractional coordinates, are Ca at (0.000, 0.500, 0.000), Pb at (0.000, 0.000, 0.500) and Au at (0.500, 0.500, 0.500).

***

Entry 2:
Compound: CaPb2Au
Source: Alexandria
Functional: meta-GGA SCAN
Structure: single point on PBEsol structure

As for the total moment: 0.000 μB/cell. The value obtained for the density of states at the Fermi level is 1.9 states/eV per cell. The energy is -58.040 eV/atom. For the calculated volume, the calculation gives 98.4 Å³/cell.

It has space group P4/mmm (No. 123), with a = 4.659 Å, b = 4.659 Å, c = 4.534 Å, α = 90.00°, β = 90.00° and γ = 90.00°. The distinct sites, in fractional coordinates, are Ca at (0.000, 0.000, 0.000), Pb at (0.000, 0.500, 0.500) and Au at (0.500, 0.500, 0.000).

***

Entry 3:
Compound: Ca2PbAu2
Source: Alexandria
Functional: meta-GGA SCAN
Structure: single point on PBEsol structure

As for the total moment: 0.000 μB/cell. The value obtained for the density of states at the Fermi level is 3.5 states/eV per cell. The energy is -47.557 eV/atom. For the calculated volume, the calculation gives 239.5 Å³/cell.

It has space group P4/mbm (No. 127), with a = 8.072 Å, b = 8.072 Å, c = 3.676 Å, α = 90.00°, β = 90.00° and γ = 90.00°. The distinct sites, in fractional coordinates, are Ca at (0.173, 0.327, 0.000), Pb at (0.000, 0.000, 0.500) and Au at (0.123, 0.623, 0.500).

***

Entry 4:
Compound: CaPb2Au2
Source: Alexandria
Functional: meta-GGA SCAN
Structure: single point on PBEsol structure

As for the total moment: 0.000 μB/cell. The value obtained for the density of states at the Fermi level is 5.4 states/eV per cell. The energy is -60.309 eV/atom. For the calculated volume, the calculation gives 243.6 Å³/cell.

It has space group P4/mbm (No. 127), with a = 7.594 Å, b = 7.594 Å, c = 4.225 Å, α = 90.00°, β = 90.00° and γ = 90.00°. The distinct sites, in fractional coordinates, are Ca at (0.000, 0.000, 0.000), Pb at (0.177, 0.323, 0.500) and Au at (0.129, 0.629, 0.000).

***

Entry 5:
Compound: CaPbAu2
Source: Alexandria
Functional: meta-GGA SCAN
Structure: single point on PBEsol structure

As for the total moment: 0.000 μB/cell. The value obtained for the density of states at the Fermi level is 1.9 states/eV per cell. The energy is -56.505 eV/atom. For the calculated volume, the calculation gives 88.9 Å³/cell.

It has space group P4/mmm (No. 123), with a = 3.690 Å, b = 3.690 Å, c = 6.529 Å, α = 90.00°, β = 90.00° and γ = 90.00°. The distinct sites, in fractional coordinates, are Ca at (0.000, 0.000, 0.000), Pb at (0.000, 0.000, 0.500) and Au at (0.500, 0.500, 0.239).

***

Entry 6:
Compound: Ca2PbAu2
Source: Alexandria
Functional: meta-GGA SCAN
Structure: single point on PBEsol structure

As for the total moment: 0.000 μB/cell. The value obtained for the density of states at the Fermi level is 5.0 states/eV per cell. The energy is -47.271 eV/atom. For the calculated volume, the calculation gives 268.3 Å³/cell.

It has space group I4/mmm (No. 139), with a = 4.856 Å, b = 4.856 Å, c = 11.381 Å, α = 90.00°, β = 90.00° and γ = 90.00°. The distinct sites, in fractional coordinates, are Ca at (0.000, 0.500, 0.250), Pb at (0.000, 0.000, 0.000) and Au at (0.000, 0.000, 0.386).

***

Entry 7:
Compound: CaPb2Au2
Source: Alexandria
Functional: meta-GGA SCAN
Structure: single point on PBEsol structure

As for the total moment: 0.000 μB/cell. The value obtained for the density of states at the Fermi level is 4.6 states/eV per cell. The energy is -60.312 eV/atom. For the calculated volume, the calculation gives 257.0 Å³/cell.

It has space group I4/mmm (No. 139), with a = 4.440 Å, b = 4.440 Å, c = 13.039 Å, α = 90.00°, β = 90.00° and γ = 90.00°. The distinct sites, in fractional coordinates, are Ca at (0.000, 0.000, 0.000), Pb at (0.000, 0.500, 0.250) and Au at (0.000, 0.000, 0.400).

***

Entry 8:
Compound: CaPb2Au
Source: Alexandria
Functional: meta-GGA SCAN
Structure: single point on PBEsol structure

As for the total moment: 0.000 μB/cell. The value obtained for the density of states at the Fermi level is 3.7 states/eV per cell. The energy is -58.063 eV/atom. For the calculated volume, the calculation gives 213.7 Å³/cell.

It has space group Amm2 (No. 38), with a = 4.482 Å, b = 3.858 Å, c = 12.359 Å, α = 90.00°, β = 90.00° and γ = 90.00°. The distinct sites, in fractional coordinates, are Ca at (0.000, 0.000, 0.000), Pb at (0.000, 0.000, 0.273), Pb at (0.500, 0.000, 0.667) and Au at (0.500, 0.000, 0.428).